Entry from OQMD via LeMat-Bulk: an optimized crystal structure of RbRe2 (PBE-GGA).

Cell: 5.5747 5.5747 5.5747 Å, 60.00 60.00 60.00°
Closest atoms and distances in Å follow each position.
Atoms (fractional coordinates):
Rb  0.1250  0.1250  0.1250  12 Re 3.27, 4 Rb 3.41
Rb  0.8750  0.8750  0.8750  12 Re 3.27, 4 Rb 3.41
Re  0.0000  0.5000  0.5000  6 Re 2.79
Re  0.5000  0.0000  0.5000  6 Re 2.79
Re  0.5000  0.5000  0.0000  6 Re 2.79
Re  0.5000  0.5000  0.5000  6 Re 2.79

electronic total energy	-41.4	eV for the cell shown


Entry from OQMD via LeMat-Bulk: an optimized crystal structure of RbRe3S5 (PBE-GGA).

Cell: 5.6627 5.6627 7.1465 Å, 90.00 90.00 120.00°
Closest atoms and distances in Å follow each position.
Atoms (fractional coordinates):
Rb  0.0000  0.0000  0.0000  14 S 3.57-3.75
Re  0.0000  0.5000  0.5000  4 S 2.39
Re  0.5000  0.0000  0.5000  4 S 2.39
Re  0.5000  0.5000  0.5000  4 S 2.39
S  0.0000  0.0000  0.5000  6 Re 2.83
S  0.3333  0.6667  0.2559  3 Re 2.39
S  0.3333  0.6667  0.7441  3 Re 2.39
S  0.6667  0.3333  0.2559  3 Re 2.39
S  0.6667  0.3333  0.7441  3 Re 2.39

electronic total energy	-60.3	eV for the cell shown


Entry from OQMD via LeMat-Bulk: an optimized crystal structure of Rb2Re3S6 (PBE-GGA).

Cell: 9.8558 9.8558 12.1143 Å, 91.14 91.14 60.13°
Closest atoms and distances in Å follow each position.
Atoms (fractional coordinates):
Rb  0.1202  0.8798  0.7500  6 S 3.27-3.55, 2 Rb 3.65
Rb  0.1335  0.6394  0.9797  6 S 3.19-3.35
Rb  0.2842  0.7158  0.2500  8 S 3.21-3.55
Rb  0.3606  0.8665  0.5203  6 S 3.19-3.35
Rb  0.6394  0.1335  0.4797  6 S 3.19-3.35
Rb  0.7158  0.2842  0.7500  8 S 3.21-3.55
Rb  0.8665  0.3606  0.0203  6 S 3.19-3.35
Rb  0.8798  0.1202  0.2500  6 S 3.27-3.55, 2 Rb 3.65
Re  0.0376  0.3808  0.6269  5 S 2.40-2.50, 4 Re 2.63-2.65
Re  0.1017  0.3174  0.4142  5 S 2.39-2.50, 4 Re 2.63-2.65
Re  0.1883  0.4969  0.5223  5 S 2.41-2.51, 4 Re 2.63-2.64
Re  0.3174  0.1017  0.9142  5 S 2.39-2.50, 4 Re 2.63-2.65
Re  0.3808  0.0376  0.1269  5 S 2.40-2.50, 4 Re 2.63-2.65
Re  0.4969  0.1883  0.0223  5 S 2.41-2.51, 4 Re 2.63-2.64
Re  0.5031  0.8117  0.9777  5 S 2.41-2.51, 4 Re 2.63-2.64
Re  0.6192  0.9624  0.8731  5 S 2.40-2.50, 4 Re 2.63-2.65
Re  0.6826  0.8983  0.0858  5 S 2.39-2.50, 4 Re 2.63-2.65
Re  0.8117  0.5031  0.4777  5 S 2.41-2.51, 4 Re 2.63-2.64
Re  0.8983  0.6826  0.5858  5 S 2.39-2.50, 4 Re 2.63-2.65
Re  0.9624  0.6192  0.3731  5 S 2.40-2.50, 4 Re 2.63-2.65
S  0.0451  0.7771  0.4821  3 Re 2.44-2.45
S  0.0749  0.2278  0.7977  2 Re 2.50
S  0.1166  0.5512  0.7143  3 Re 2.40-2.43
S  0.2213  0.2993  0.0608  3 Re 2.40-2.44
S  0.2229  0.9549  0.0179  3 Re 2.44-2.45
S  0.2278  0.0749  0.2977  2 Re 2.50
S  0.2337  0.4348  0.3286  3 Re 2.39-2.43
S  0.2993  0.2213  0.5608  3 Re 2.40-2.44
S  0.4348  0.2337  0.8286  3 Re 2.39-2.43
S  0.4347  0.5024  0.5708  1 S 2.15
S  0.4488  0.8834  0.7857  3 Re 2.40-2.43
S  0.4976  0.5653  0.9292  1 S 2.15
S  0.5024  0.4347  0.0708  1 S 2.15
S  0.5512  0.1166  0.2143  3 Re 2.40-2.43
S  0.5653  0.4976  0.4292  1 S 2.15
S  0.5652  0.7663  0.1714  3 Re 2.39-2.43
S  0.7007  0.7787  0.4392  3 Re 2.40-2.44
S  0.7663  0.5652  0.6714  3 Re 2.39-2.43
S  0.7722  0.9251  0.7023  2 Re 2.50
S  0.7771  0.0451  0.9821  3 Re 2.44-2.45
S  0.7787  0.7007  0.9392  3 Re 2.40-2.44
S  0.8834  0.4488  0.2857  3 Re 2.40-2.43
S  0.9251  0.7722  0.2023  2 Re 2.50
S  0.9549  0.2229  0.5179  3 Re 2.44-2.45

electronic total energy	-290.2	eV for the cell shown


Entry from OQMD via LeMat-Bulk: an optimized crystal structure of Rb2ReS3 (PBE-GGA).

Cell: 7.3102 7.3102 6.5947 Å, 90.00 90.00 74.57°
Closest atoms and distances in Å follow each position.
Atoms (fractional coordinates):
Rb  0.0107  0.6653  0.7500  5 S 3.37-3.39, 1 Rb 3.77
Rb  0.3347  0.9893  0.7500  5 S 3.37-3.39, 1 Rb 3.77
Rb  0.6653  0.0107  0.2500  5 S 3.37-3.39, 1 Rb 3.77
Rb  0.9893  0.3347  0.2500  5 S 3.37-3.39, 1 Rb 3.77
Re  0.3979  0.6021  0.2500  5 S 2.23-2.35
Re  0.6021  0.3979  0.7500  5 S 2.23-2.35
S  0.1458  0.8542  0.2500  1 Re 2.23
S  0.3789  0.3789  0.0000  2 Re 2.35
S  0.3789  0.3789  0.5000  2 Re 2.35
S  0.6211  0.6211  0.0000  2 Re 2.35
S  0.6211  0.6211  0.5000  2 Re 2.35
S  0.8542  0.1458  0.7500  1 Re 2.23

electronic total energy	-62.0	eV for the cell shown


Entry from OQMD via LeMat-Bulk: an optimized crystal structure of RbTaReS5 (PBE-GGA).

Cell: 7.2665 7.9423 8.5018 Å, 64.35 84.27 70.49°
Closest atoms and distances in Å follow each position.
Atoms (fractional coordinates):
Rb  0.0875  0.1397  0.1941  7 S 3.28-3.61
Rb  0.9125  0.8603  0.8059  7 S 3.28-3.61
Ta  0.2521  0.4772  0.4740  4 S 2.30-2.55
Ta  0.7479  0.5228  0.5260  4 S 2.30-2.55
Re  0.4919  0.5051  0.1665  5 S 2.23-2.43
Re  0.5081  0.4949  0.8335  5 S 2.23-2.43
S  0.0870  0.2601  0.5183  1 Ta 2.30
S  0.1828  0.6971  0.1734  1 Re 2.27, 1 Ta 2.38
S  0.2631  0.3885  0.8001  1 Re 2.30, 1 Ta 2.55
S  0.4149  0.7113  0.5275  1 Ta 2.39, 1 Re 2.43
S  0.4697  0.7637  0.8738  2 Re 2.23-2.42
S  0.5303  0.2363  0.1262  2 Re 2.23-2.42
S  0.5851  0.2887  0.4725  1 Ta 2.39, 1 Re 2.43
S  0.7369  0.6115  0.1999  1 Re 2.30, 1 Ta 2.55
S  0.8172  0.3029  0.8266  1 Re 2.27, 1 Ta 2.38
S  0.9130  0.7399  0.4817  1 Ta 2.30

electronic total energy	-104.9	eV for the cell shown


Entry from OQMD via LeMat-Bulk: an optimized crystal structure of Rb2ReTe2S (PBE-GGA).

Cell: 7.3879 7.8692 9.3849 Å, 74.51 70.39 68.48°
Closest atoms and distances in Å follow each position.
Atoms (fractional coordinates):
Rb  0.1090  0.1830  0.1397  2 S 3.62-3.99, 5 Te 3.68-3.74
Rb  0.3340  0.5759  0.3167  1 S 3.65, 5 Te 3.71-3.81
Rb  0.6660  0.4241  0.6833  1 S 3.65, 5 Te 3.71-3.81
Rb  0.8910  0.8170  0.8603  2 S 3.62-3.99, 5 Te 3.68-3.74
Re  0.3940  0.0427  0.6462  2 S 2.25-2.26
Re  0.6060  0.9573  0.3538  2 S 2.25-2.26
Te  0.1718  0.3618  0.7255  1 Re 2.59
Te  0.3711  0.8127  0.9011  1 Re 2.58
Te  0.6289  0.1873  0.0989  1 Re 2.58
Te  0.8282  0.6382  0.2745  1 Re 2.59
S  0.2853  0.9670  0.4807  2 Re 2.25-2.26
S  0.7147  0.0330  0.5193  2 Re 2.25-2.26

electronic total energy	-55.6	eV for the cell shown